# YMoP

Crystalline YMoP at its relaxed geometry (GGA-PBE, the Alexandria database).

POSCAR file:
```
YMoP
1.0
-0.307 -0.298 4.363
-1.075 3.529 2.368
-3.924 0.225 1.941
Y Mo P
1 1 1
direct
0.000 0.000 0.000
0.500 0.500 0.500
0.250 0.250 0.250
```

Output
- formation energy from the elements (kJ/mol of atoms) = -26.8
- Fermi-level density of states (states/eV per cell) = 2.61
- crystal system = cubic
- space-group type = F-43m, No. 216

# LiHfAl2Re

Crystalline LiHfAl2Re at its relaxed geometry (GGA-PBE, the Alexandria database).

POSCAR file:
```
LiHfAl2Re
1.0
-2.142 -3.062 1.935
1.814 -2.978 -2.704
3.182 -0.517 2.704
Re Hf Al Li
1 1 2 1
direct
0.000 0.500 0.000
0.500 0.500 0.500
0.000 0.000 0.500
0.500 0.000 0.000
0.000 0.000 0.000
```

Output
- formation energy from the elements (kJ/mol of atoms) = 39.5
- Fermi-level density of states (states/eV per cell) = 2.87
- crystal system = tetragonal
- space-group type = P4/mmm, No. 123